Version w
Below is a relaxed structure of NaHf3Zn, with properties calculated at the GGA-PBE level.

Structure (POSCAR):
```
NaHf3Zn
1.0
-0.0434 -2.5483 4.2060
3.5555 -2.9221 -1.7337
3.3975 3.0255 1.8681
Hf Zn Na
3 1 1
Cartesian
1.7777 -1.4611 -0.8669 Hf
1.6987 1.5127 0.9341 Hf
-0.0217 -1.2742 2.1030 Hf
3.4548 -1.2225 2.1702 Zn
0.0000 0.0000 0.0000 Na
```

Density (g/cm3): 8.710
DOS at the Fermi energy (states/eV per cell): 4.13

Version x
Below is a relaxed structure of NaHf3Zn, with properties calculated at the GGA-PBE level.

Structure (POSCAR):
```
NaHf3Zn
1.0
5.0452 0.0000 0.0000
0.0000 5.0452 0.0000
0.0000 0.0000 5.0452
Zn Na Hf
1 1 3
Cartesian
0.0000 0.0000 0.0000 Zn
2.5226 2.5226 2.5226 Na
0.0000 2.5226 0.0000 Hf
0.0000 0.0000 2.5226 Hf
2.5226 0.0000 0.0000 Hf
```

Density (g/cm3): 8.067
DOS at the Fermi energy (states/eV per cell): 7.59

Stability check: which of them is most stable? version x.

Version w
Below is a relaxed structure of NaHf2Zn2, with properties calculated at the GGA-PBE level.

Structure (POSCAR):
```
NaHf2Zn2
1.0
8.5245 0.0000 0.0000
0.0000 8.5245 0.0000
0.0000 0.0000 2.8464
Zn Hf Na
4 4 2
Cartesian
7.0818 2.8195 1.4232 Zn
2.8195 1.4427 1.4232 Zn
5.7050 7.0818 1.4232 Zn
1.4427 5.7050 1.4232 Zn
3.1893 7.4516 0.0000 Hf
1.0729 3.1893 0.0000 Hf
5.3352 1.0729 0.0000 Hf
7.4516 5.3352 0.0000 Hf
0.0000 0.0000 0.0000 Na
4.2623 4.2623 0.0000 Na
```

Density (g/cm3): 8.201
DOS at the Fermi energy (states/eV per cell): 6.62

Version x
Below is a relaxed structure of NaHf2Zn2, with properties calculated at the GGA-PBE level.

Structure (POSCAR):
```
NaHf2Zn2
1.0
-1.9437 5.3442 -6.1631
-7.8649 0.4541 2.8741
0.7604 2.2636 1.7231
Zn Hf Na
4 4 2
Cartesian
-2.6034 3.6366 -3.6287 Zn
-6.8610 4.7579 -3.2228 Zn
-2.9475 1.0405 -0.0662 Zn
-7.2052 2.1617 0.3396 Zn
-7.6854 4.8949 -0.5228 Hf
-4.2186 5.9480 -3.4362 Hf
-4.8296 2.1140 1.8703 Hf
-1.3628 3.1671 -1.0431 Hf
0.0000 0.0000 0.0000 Na
-4.9043 2.8992 -1.6445 Na
```

Density (g/cm3): 8.192
DOS at the Fermi energy (states/eV per cell): 6.45

Stability check: which of them is most stable? version x.

Version w
Below is a relaxed structure of NaHfZr2, with properties calculated at the GGA-PBE level.

Structure (POSCAR):
```
NaHfZr2
1.0
4.2658 0.0000 0.0000
0.0000 4.2658 0.0000
2.1329 2.1329 10.5929
Zr Hf Na
4 2 2
Cartesian
3.2404 1.0665 2.6482 Zr
3.1994 3.1583 7.9447 Zr
1.0254 3.1994 2.6482 Zr
5.3323 5.3733 7.9447 Zr
0.0000 0.0000 0.0000 Hf
4.2658 2.1329 5.2964 Hf
2.1329 2.1329 0.0000 Na
2.1329 4.2658 5.2964 Na
```

Density (g/cm3): 6.615
DOS at the Fermi energy (states/eV per cell): 10.56

Version x
Below is a relaxed structure of NaHfZr2, with properties calculated at the GGA-PBE level.

Structure (POSCAR):
```
NaHfZr2
1.0
0.0000 3.5757 3.5757
3.5757 0.0000 3.5757
3.5757 3.5757 0.0000
Zr Na Hf
2 1 1
Cartesian
5.3635 5.3635 5.3635 Zr
1.7878 1.7878 1.7878 Zr
0.0000 0.0000 0.0000 Na
3.5757 3.5757 3.5757 Hf
```

Density (g/cm3): 6.972
DOS at the Fermi energy (states/eV per cell): 7.34

Stability check: which of them is most stable? version x.